No. 1
Computed, not measured: Cr3HgN at its PBEsol-relaxed geometry at the meta-GGA SCAN level of DFT.

Geometry as POSCAR:
```
Cr3HgN
1.0
3.8658 0.0000 0.0000
0.0000 3.8658 0.0000
0.0000 0.0000 3.8658
Cr Hg N
3 1 1
direct
0.0000 0.0000 0.5000
0.0000 0.5000 0.0000
0.5000 0.0000 0.0000
0.5000 0.5000 0.5000
0.0000 0.0000 0.0000
```

- Raw formation energy: 0.01 eV/atom
- Space-group type: No. 221

No. 2
Computed, not measured: ReHg3As at its PBEsol-relaxed geometry at the meta-GGA SCAN level of DFT.

Geometry as POSCAR:
```
ReHg3As
1.0
5.1601 0.0000 0.0000
0.0000 5.1601 0.0000
0.0000 0.0000 5.1601
Re Hg As
1 3 1
direct
0.0000 0.0000 0.0000
0.0000 0.0000 0.5000
0.0000 0.5000 0.0000
0.5000 0.0000 0.0000
0.5000 0.5000 0.5000
```

- Space-group type: No. 221
- Formation energy from the elements: 1275 meV/atom

No. 3
Computed, not measured: Cs2ZrZnFe at its PBEsol-relaxed geometry at the meta-GGA SCAN level of DFT.

Geometry as POSCAR:
```
Cs2ZrZnFe
1.0
6.9105 0.0000 0.0000
0.0000 6.9105 0.0000
0.0000 0.0000 4.3691
Cs Zr Zn Fe
2 1 1 1
direct
0.0000 0.5000 0.0000
0.5000 0.0000 0.0000
0.0000 0.0000 0.0000
0.5000 0.5000 0.5000
0.0000 0.0000 0.5000
```

- Space-group type: No. 123
- Formation energy from the elements: 1136 meV/atom

No. 4
Computed, not measured: GaSbMo3 at its PBEsol-relaxed geometry at the meta-GGA SCAN level of DFT.

Geometry as POSCAR:
```
GaSbMo3
1.0
4.5671 0.0000 0.0000
0.0000 4.5671 0.0000
0.0000 0.0000 4.5671
Ga Sb Mo
1 1 3
direct
0.0000 0.0000 0.0000
0.5000 0.5000 0.5000
0.0000 0.0000 0.5000
0.0000 0.5000 0.0000
0.5000 0.0000 0.0000
```

- Raw formation energy: 1.38 eV/atom
- Space-group type: No. 221
- Energy above the most stable polymorph in this dataset: 0 meV per atom

No. 5
Computed, not measured: ScSiSb2Te at its PBEsol-relaxed geometry at the meta-GGA SCAN level of DFT.

Geometry as POSCAR:
```
ScSiSb2Te
1.0
5.3653 0.0000 0.0000
0.0000 5.3653 0.0000
0.0000 0.0000 5.3449
Sc Si Sb Te
1 1 2 1
direct
0.0000 0.0000 0.0000
0.5000 0.5000 0.5000
0.0000 0.5000 0.0000
0.5000 0.0000 0.0000
0.0000 0.0000 0.5000
```

- Raw formation energy: 0.60 eV/atom
- Space-group type: No. 123

No. 6
Computed, not measured: NaFeNiC2 at its PBEsol-relaxed geometry at the meta-GGA SCAN level of DFT.

Geometry as POSCAR:
```
NaFeNiC2
1.0
3.7039 0.0000 0.0000
0.0000 3.7039 0.0000
0.0000 0.0000 4.4631
Na Fe Ni C
1 1 1 2
direct
0.0000 0.0000 0.0000
0.5000 0.5000 0.0000
0.0000 0.0000 0.5000
0.0000 0.5000 0.5000
0.5000 0.0000 0.5000
```

- Space-group type: No. 123
- Formation energy from the elements: 1797 meV/atom

No. 7
Computed, not measured: SiNiPt at its PBEsol-relaxed geometry at the meta-GGA SCAN level of DFT.

Geometry as POSCAR:
```
SiNiPt
1.0
0.0000 2.7721 2.7721
2.7721 0.0000 2.7721
2.7721 2.7721 0.0000
Si Ni Pt
1 1 1
direct
0.0000 0.0000 0.0000
0.7500 0.7500 0.7500
0.5000 0.5000 0.5000
```

- Raw formation energy: -0.23 eV/atom
- Space-group type: No. 216

No. 8
Computed, not measured: ZrGaSiTc2 at its PBEsol-relaxed geometry at the meta-GGA SCAN level of DFT.

Geometry as POSCAR:
```
ZrGaSiTc2
1.0
4.4530 0.0000 0.0000
0.0000 4.4530 0.0000
0.0000 0.0000 4.3351
Zr Ga Si Tc
1 1 1 2
direct
0.0000 0.0000 0.0000
0.5000 0.5000 0.0000
0.5000 0.5000 0.5000
0.0000 0.5000 0.5000
0.5000 0.0000 0.5000
```

- Raw formation energy: 0.42 eV/atom
- Space-group type: No. 123

No. 9
Computed, not measured: ZrNi2Ru at its PBEsol-relaxed geometry at the meta-GGA SCAN level of DFT.

Geometry as POSCAR:
```
ZrNi2Ru
1.0
1.3572 0.7836 8.5866
-1.3572 0.7836 8.5866
0.0000 -1.5671 8.5866
Zr Ni Ru
1 2 1
direct
0.0000 0.0000 0.0000
0.4942 0.4942 0.4942
0.7544 0.7544 0.7544
0.2365 0.2365 0.2365
```

- Space-group type: No. 160
- Formation energy from the elements: 297 meV/atom

No. 10
Computed, not measured: HgSbC3 at its PBEsol-relaxed geometry at the meta-GGA SCAN level of DFT.

Geometry as POSCAR:
```
HgSbC3
1.0
4.2765 0.0000 0.0000
0.0000 4.2765 0.0000
0.0000 0.0000 4.2765
Hg Sb C
1 1 3
direct
0.0000 0.0000 0.0000
0.5000 0.5000 0.5000
0.0000 0.0000 0.5000
0.0000 0.5000 0.0000
0.5000 0.0000 0.0000
```

- Raw formation energy: 3.34 eV/atom
- Space-group type: No. 221

No. 11
Computed, not measured: AsPd2Br at its PBEsol-relaxed geometry at the meta-GGA SCAN level of DFT.

Geometry as POSCAR:
```
AsPd2Br
1.0
0.0000 3.2172 3.2172
3.2172 0.0000 3.2172
3.2172 3.2172 0.0000
As Pd Br
1 2 1
direct
0.0000 0.0000 0.0000
0.2500 0.2500 0.2500
0.7500 0.7500 0.7500
0.5000 0.5000 0.5000
```

- Raw formation energy: 0.12 eV/atom
- Space-group type: No. 225

No. 12
Computed, not measured: CsMoPO6 at its PBEsol-relaxed geometry at the meta-GGA SCAN level of DFT.

Geometry as POSCAR:
```
CsMoPO6
1.0
0.0000 6.3580 8.0379
5.5030 0.0000 8.0379
5.5030 6.3580 0.0000
Cs Mo P O
4 4 4 24
direct
0.0687 0.6813 0.6813
0.3187 0.9313 0.9313
0.6813 0.0687 0.0687
0.9313 0.3187 0.3187
0.1572 0.5928 0.1572
0.4072 0.8428 0.4072
0.5928 0.1572 0.5928
0.8428 0.4072 0.8428
0.2453 0.2453 0.5047
0.4953 0.4953 0.7547
0.5047 0.5047 0.2453
0.7547 0.7547 0.4953
0.0386 0.3347 0.6065
0.0640 0.5467 0.0798
0.0798 0.8095 0.0640
0.1905 0.9202 0.4533
0.2705 0.3235 0.3063
0.3063 0.5997 0.2705
0.3235 0.2705 0.5997
0.3347 0.0386 0.5202
0.3935 0.4798 0.9614
0.4003 0.6937 0.6765
0.4533 0.9360 0.1905
0.4798 0.3935 0.6653
0.5202 0.6065 0.3347
0.5467 0.0640 0.8095
0.5997 0.3063 0.3235
0.6065 0.5202 0.0386
0.6653 0.9614 0.4798
0.6765 0.7295 0.4003
0.6937 0.4003 0.7295
0.7295 0.6765 0.6937
0.8095 0.0798 0.5467
0.9202 0.1905 0.9360
0.9360 0.4533 0.9202
0.9614 0.6653 0.3935
```

- Raw formation energy: -2.37 eV/atom
- Space-group type: No. 70

Please write out number 8 again, unchanged.
Computed, not measured: ZrGaSiTc2 at its PBEsol-relaxed geometry at the meta-GGA SCAN level of DFT.

Geometry as POSCAR:
```
ZrGaSiTc2
1.0
4.4530 0.0000 0.0000
0.0000 4.4530 0.0000
0.0000 0.0000 4.3351
Zr Ga Si Tc
1 1 1 2
direct
0.0000 0.0000 0.0000
0.5000 0.5000 0.0000
0.5000 0.5000 0.5000
0.0000 0.5000 0.5000
0.5000 0.0000 0.5000
```

- Raw formation energy: 0.42 eV/atom
- Space-group type: No. 123

Please write out number 11 again, unchanged.
Computed, not measured: AsPd2Br at its PBEsol-relaxed geometry at the meta-GGA SCAN level of DFT.

Geometry as POSCAR:
```
AsPd2Br
1.0
0.0000 3.2172 3.2172
3.2172 0.0000 3.2172
3.2172 3.2172 0.0000
As Pd Br
1 2 1
direct
0.0000 0.0000 0.0000
0.2500 0.2500 0.2500
0.7500 0.7500 0.7500
0.5000 0.5000 0.5000
```

- Raw formation energy: 0.12 eV/atom
- Space-group type: No. 225